The following is a DFT calculation (PBE) of a geometry-optimized KTe2O6 structure.

Cell lengths 7.0356, 7.0356, 2.9160 Å; angles 90.00, 90.00, 120.00 degrees
Space group P-3 (No. 147)
Unique sites:
K  0.0000  0.0000  0.0000 (multiplicity 1)
Te  0.3333  0.6667  0.2477 (multiplicity 2)
O  0.1531  0.4390  0.7463 (multiplicity 6)

- Theoretical density: 5.18 g/cm³
- ΔE_f (raw): -0.796 eV/atom
- Calculated total energy: -4.92 eV per atom